# 1
! La8TlRu3Br4 (GGA-PBE, relaxed); values from VASP
! Crystal system: trigonal
! Total energy in eV for the cell shown: -90.637
! Symmetry: R-3m (166)
! Uncorrected formation energy in eV per atom: -0.896
! Fermi-level density of states in states/eV/cell: 6.24
&SYSTEM
  ibrav = 0, nat = 16, ntyp = 4
/
ATOMIC_SPECIES
La 138.91 La.upf
Tl 204.38 Tl.upf
Ru 101.07 Ru.upf
Br 79.90 Br.upf
ATOMIC_POSITIONS angstrom
La -1.962 2.376 6.103
La 0.000 4.337 3.330
La 0.000 0.454 3.358
La 1.962 2.376 6.103
La 2.334 2.608 0.456
La 4.295 4.531 3.201
La 4.295 0.648 3.230
La 6.257 2.608 0.456
Tl 0.000 4.640 0.243
Ru 4.295 4.640 0.243
Ru 2.148 2.492 3.280
Ru -2.148 2.492 3.280
Br 4.295 0.000 0.000
Br 2.148 -2.148 3.037
Br 0.000 0.000 0.000
Br -2.148 -2.148 3.037
CELL_PARAMETERS angstrom
8.590 0.000 0.000
0.000 9.280 0.485
-4.295 -4.296 6.074

# 2
! La7SmTm12 (GGA-PBE, relaxed); values from VASP
! Crystal system: cubic
! Total energy in eV for the cell shown: -80.117
! Symmetry: Im-3m (229)
! Fermi-level density of states in states/eV/cell: 31.30
&SYSTEM
  ibrav = 0, nat = 20, ntyp = 3
/
ATOMIC_SPECIES
La 138.91 La.upf
Sm 150.36 Sm.upf
Tm 168.93 Tm.upf
ATOMIC_POSITIONS angstrom
La -1.489 0.408 -5.427
La 1.960 -5.209 -0.929
La -5.077 -2.130 1.233
La -2.303 -3.465 -2.562
La -0.814 -3.873 2.865
La -4.263 1.743 -1.633
La 2.774 -1.335 -3.794
Sm 0.000 0.000 0.000
Tm -1.358 -6.078 -3.051
Tm 3.772 -3.926 -4.297
Tm -3.248 -0.852 -2.072
Tm -8.378 -3.005 -0.826
Tm -1.272 -1.960 -8.628
Tm -4.838 -4.559 -1.979
Tm -3.334 -4.971 3.505
Tm 0.232 -2.372 -3.144
Tm -3.067 -3.301 -5.273
Tm -1.539 -3.630 0.150
Tm -5.047 1.962 -4.334
Tm 0.441 -8.893 -0.789
CELL_PARAMETERS angstrom
-8.525 3.486 -3.265
5.548 -2.671 -7.588
-1.629 -7.746 5.730

# 3
! Tb3Bi4 (GGA-PBE, relaxed); values from VASP
! Crystal system: trigonal
! Total energy in eV for the cell shown: -33.283
! Symmetry: R-3m (166)
! Fermi-level density of states in states/eV/cell: 4.14
&SYSTEM
  ibrav = 0, nat = 7, ntyp = 2
/
ATOMIC_SPECIES
Tb 158.93 Tb.upf
Bi 208.98 Bi.upf
ATOMIC_POSITIONS angstrom
Tb -1.401 9.832 6.597
Tb -0.260 3.681 2.243
Tb 0.000 0.000 0.000
Bi 1.121 10.571 4.832
Bi 1.290 6.711 2.570
Bi -2.952 6.801 6.270
Bi -2.783 2.942 4.008
CELL_PARAMETERS angstrom
-4.091 1.960 1.237
-1.259 0.155 4.527
3.688 11.397 3.076

# 4
! Pr3Ag2Ru (GGA-PBE, relaxed); values from VASP
! Offset from the most stable computed form in meV/atom: 121.2
! Crystal system: monoclinic
! Total energy in eV for the cell shown: -59.771
! Symmetry: C2/c (15)
! Fermi-level density of states in states/eV/cell: 9.22
&SYSTEM
  ibrav = 0, nat = 12, ntyp = 3
/
ATOMIC_SPECIES
Pr 140.91 Pr.upf
Ag 107.87 Ag.upf
Ru 101.07 Ru.upf
ATOMIC_POSITIONS angstrom
Pr -3.005 1.571 1.306
Pr -4.666 0.596 4.850
Pr 1.094 1.341 0.876
Pr -0.132 5.110 3.640
Pr -0.591 0.387 4.415
Pr -1.816 4.157 7.179
Ag -2.406 2.873 4.252
Ag -0.720 3.825 0.714
Ag -0.002 1.673 7.342
Ag 1.684 2.624 3.803
Ru -6.828 2.643 4.387
Ru -0.843 -0.476 1.769
CELL_PARAMETERS angstrom
-4.327 4.097 -0.927
-3.344 -1.930 7.083
6.949 3.330 1.899

# 5
! KNa2Cd6 (GGA-PBE, relaxed); values from VASP
! Offset from the most stable computed form in meV/atom: 53.6
! Crystal system: orthorhombic
! Total energy in eV for the cell shown: -9.435
! Symmetry: Immm (71)
! Fermi-level density of states in states/eV/cell: 3.68
&SYSTEM
  ibrav = 0, nat = 9, ntyp = 3
/
ATOMIC_SPECIES
K 39.10 K.upf
Na 22.99 Na.upf
Cd 112.41 Cd.upf
ATOMIC_POSITIONS angstrom
K 5.230 5.069 3.773
Na 2.615 1.404 1.045
Na 7.845 8.734 6.500
Cd 5.230 6.874 7.020
Cd 5.230 3.265 0.525
Cd 5.230 1.440 2.977
Cd 2.615 3.425 5.982
Cd 2.615 6.713 1.564
Cd 5.230 8.699 4.569
CELL_PARAMETERS angstrom
5.230 0.000 0.000
2.615 7.625 0.339
2.615 2.514 7.207

# 6
! Sm2Ni2Se (GGA-PBE, relaxed); values from VASP
! Crystal system: trigonal
! Total energy in eV for the cell shown: -29.287
! Symmetry: R-3m (166)
! Uncorrected formation energy in eV per atom: -0.960
! Fermi-level density of states in states/eV/cell: 4.78
&SYSTEM
  ibrav = 0, nat = 5, ntyp = 3
/
ATOMIC_SPECIES
Sm 150.36 Sm.upf
Ni 58.69 Ni.upf
Se 78.96 Se.upf
ATOMIC_POSITIONS angstrom
Sm 2.432 1.514 0.962
Sm -0.224 2.270 5.769
Ni 1.186 0.763 3.627
Ni 1.022 3.021 3.103
Se 0.000 0.000 0.000
CELL_PARAMETERS angstrom
3.823 -0.009 -1.250
-2.115 3.421 -0.026
0.500 0.372 8.007

# 7
! YPa2Co (GGA-PBE, relaxed); values from VASP
! Offset from the most stable computed form in meV/atom: 0.0
! Crystal system: trigonal
! Total energy in eV for the cell shown: -32.523
! Symmetry: R-3m (166)
! Fermi-level density of states in states/eV/cell: 6.56
&SYSTEM
  ibrav = 0, nat = 4, ntyp = 3
/
ATOMIC_SPECIES
Y 88.91 Y.upf
Pa 231.04 Pa.upf
Co 58.93 Co.upf
ATOMIC_POSITIONS angstrom
Y 2.592 -5.488 0.055
Pa 0.817 -2.501 -0.182
Pa 4.366 -8.475 0.292
Co 0.000 0.000 0.000
CELL_PARAMETERS angstrom
-1.706 -3.086 0.316
0.005 -2.308 -2.684
6.884 -5.582 2.478

# 8
! ZrScCo2 (GGA-PBE, relaxed); values from VASP
! Crystal system: orthorhombic
! Total energy in eV for the cell shown: -26.550
! Symmetry: Immm (71)
! Fermi-level density of states in states/eV/cell: 4.46
&SYSTEM
  ibrav = 0, nat = 4, ntyp = 3
/
ATOMIC_SPECIES
Zr 91.22 Zr.upf
Sc 44.96 Sc.upf
Co 58.93 Co.upf
ATOMIC_POSITIONS angstrom
Zr 3.003 -0.402 3.720
Sc 0.000 0.000 0.000
Co 1.483 -0.198 1.837
Co 4.524 -0.605 5.603
CELL_PARAMETERS angstrom
-3.116 3.220 -3.324
1.029 0.724 5.436
4.978 -1.528 2.004

# 9
! ScNbAs2 (GGA-PBE, relaxed); values from VASP
! Offset from the most stable computed form in meV/atom: 0.0
! Crystal system: trigonal
! Total energy in eV for the cell shown: -29.578
! Symmetry: R3m (160)
! Fermi-level density of states in states/eV/cell: 0.34
&SYSTEM
  ibrav = 0, nat = 4, ntyp = 3
/
ATOMIC_SPECIES
Sc 44.96 Sc.upf
Nb 92.91 Nb.upf
As 74.92 As.upf
ATOMIC_POSITIONS angstrom
Sc -4.258 -2.398 7.646
Nb -2.744 -1.989 4.199
As -1.679 0.272 5.015
As -1.375 -0.982 2.129
CELL_PARAMETERS angstrom
-3.327 -1.566 0.330
-0.312 -3.386 1.438
-1.839 0.932 6.535

# 10
! La3Dy8Tm3 (GGA-PBE, relaxed); values from VASP
! Crystal system: orthorhombic
! Total energy in eV for the cell shown: -63.554
! Symmetry: Immm (71)
! Fermi-level density of states in states/eV/cell: 23.05
&SYSTEM
  ibrav = 0, nat = 14, ntyp = 3
/
ATOMIC_SPECIES
La 138.91 La.upf
Dy 162.50 Dy.upf
Tm 168.93 Tm.upf
ATOMIC_POSITIONS angstrom
La -2.574 0.962 0.725
La -0.271 2.044 7.469
La -0.308 7.739 -0.213
Dy -3.615 6.554 0.756
Dy -2.111 5.152 7.951
Dy -3.589 2.612 6.074
Dy -2.136 9.095 2.633
Dy -4.704 7.148 7.234
Dy -1.022 4.558 1.473
Dy -4.716 8.977 4.767
Dy -1.010 2.730 3.940
Tm -2.863 5.853 4.354
Tm -4.217 3.531 2.638
Tm -1.509 8.175 6.069
CELL_PARAMETERS angstrom
-5.147 1.923 1.451
-0.260 0.386 9.706
-0.319 9.398 -2.449

# 11
! K2VCrS4 (GGA-PBE, relaxed); values from VASP
! Crystal system: tetragonal
! Total energy in eV for the cell shown: -44.919
! Symmetry: I-4 (82)
! Uncorrected formation energy in eV per atom: -0.934
! Fermi-level density of states in states/eV/cell: 2.35
&SYSTEM
  ibrav = 0, nat = 8, ntyp = 4
/
ATOMIC_SPECIES
K 39.10 K.upf
V 50.94 V.upf
Cr 52.00 Cr.upf
S 32.06 S.upf
ATOMIC_POSITIONS angstrom
K 0.518 3.836 1.327
K 0.000 0.000 0.000
V -2.731 1.733 2.655
Cr 0.518 -0.329 4.046
S 1.597 1.224 2.690
S -1.630 -0.148 3.170
S 4.195 2.686 0.717
S -2.089 3.253 4.169
CELL_PARAMETERS angstrom
6.499 0.042 0.064
-2.731 5.898 -0.064
-2.731 -2.432 5.373

# 12
! YZnSe2 (GGA-PBE, relaxed); values from VASP
! Crystal system: trigonal
! Total energy in eV for the cell shown: -18.529
! Symmetry: R3m (160)
! Uncorrected formation energy in eV per atom: -0.956
! Fermi-level density of states in states/eV/cell: 2.41
&SYSTEM
  ibrav = 0, nat = 4, ntyp = 3
/
ATOMIC_SPECIES
Se 78.96 Se.upf
Y 88.91 Y.upf
Zn 65.41 Zn.upf
ATOMIC_POSITIONS angstrom
Se -0.312 -0.445 -0.743
Se -1.742 -2.485 -4.150
Y -3.849 -5.492 -9.173
Zn -5.744 -8.195 -13.687
CELL_PARAMETERS angstrom
-4.254 -2.044 -6.455
-0.482 -3.437 -7.204
-3.028 -5.597 -4.842

# 13
! Pu2PaBr8 (GGA-PBE, relaxed); values from VASP
! Crystal system: monoclinic
! Total energy in eV for the cell shown: -66.893
! Symmetry: C2/m (12)
! Uncorrected formation energy in eV per atom: -1.395
! Fermi-level density of states in states/eV/cell: 28.66
&SYSTEM
  ibrav = 0, nat = 11, ntyp = 3
/
ATOMIC_SPECIES
Pu 244.00 Pu.upf
Pa 231.04 Pa.upf
Br 79.90 Br.upf
ATOMIC_POSITIONS angstrom
Pu 0.769 3.549 1.615
Pu 5.490 4.332 3.382
Pa 0.000 0.000 0.000
Br 4.478 2.187 5.372
Br 1.349 2.187 6.862
Br 1.781 5.695 -0.375
Br 4.368 3.207 1.027
Br 4.910 5.695 -1.865
Br 1.177 0.749 2.471
Br 5.082 7.133 2.526
Br 1.891 4.674 3.970
CELL_PARAMETERS angstrom
6.324 0.000 -3.012
-0.018 7.897 -0.037
-0.047 -0.015 8.046

# 14
! Co2SiMo2 (GGA-PBE, relaxed); values from VASP
! Crystal system: tetragonal
! Total energy in eV for the cell shown: -82.988
! Symmetry: P4/mbm (127)
! Uncorrected formation energy in eV per atom: -0.039
! Fermi-level density of states in states/eV/cell: 11.44
&SYSTEM
  ibrav = 0, nat = 10, ntyp = 3
/
ATOMIC_SPECIES
Mo 95.94 Mo.upf
Co 58.93 Co.upf
Si 28.09 Si.upf
ATOMIC_POSITIONS angstrom
Mo 0.906 3.739 2.060
Mo 3.739 4.758 2.060
Mo 4.758 1.926 2.060
Mo 1.926 0.906 2.060
Co 2.031 4.864 0.000
Co 4.864 3.633 0.000
Co 3.633 0.801 0.000
Co 0.801 2.031 0.000
Si 0.000 0.000 0.000
Si 2.832 2.832 0.000
CELL_PARAMETERS angstrom
5.665 0.000 0.000
0.000 5.665 0.000
0.000 0.000 4.120

# 15
! Cs2Ge2Au5 (GGA-PBE, relaxed); values from VASP
! Crystal system: monoclinic
! Total energy in eV for the cell shown: -29.116
! Symmetry: C2/m (12)
! Fermi-level density of states in states/eV/cell: 3.00
&SYSTEM
  ibrav = 0, nat = 9, ntyp = 3
/
ATOMIC_SPECIES
Cs 132.91 Cs.upf
Ge 72.64 Ge.upf
Au 196.97 Au.upf
ATOMIC_POSITIONS angstrom
Cs 0.000 4.793 4.761
Cs 2.412 1.534 2.347
Ge 0.000 1.852 7.515
Ge 2.412 4.476 -0.407
Au 0.000 4.347 0.586
Au 2.412 1.980 6.522
Au 0.000 0.766 5.197
Au 2.412 5.561 1.911
Au 0.000 0.000 0.000
CELL_PARAMETERS angstrom
4.825 0.000 0.000
-2.412 6.760 -1.468
0.000 -0.432 8.576

# 16
! Tl2Si3 (GGA-PBE, relaxed); values from VASP
! Crystal system: trigonal
! Total energy in eV for the cell shown: -18.750
! Symmetry: R-3m (166)
! Uncorrected formation energy in eV per atom: 0.450
! Fermi-level density of states in states/eV/cell: 2.81
&SYSTEM
  ibrav = 0, nat = 5, ntyp = 2
/
ATOMIC_SPECIES
Tl 204.38 Tl.upf
Si 28.09 Si.upf
ATOMIC_POSITIONS angstrom
Tl 11.398 0.000 1.328
Tl 16.779 0.000 1.954
Si 0.000 0.000 0.000
Si 23.054 0.000 2.685
Si 5.124 0.000 0.597
CELL_PARAMETERS angstrom
9.519 -1.895 0.007
9.519 1.895 0.007
9.139 0.000 3.267

# 17
! Sr2PaPd3O12 (GGA-PBE, relaxed); values from VASP
! Crystal system: trigonal
! Total energy in eV for the cell shown: -112.759
! Symmetry: R-3m (166)
! Uncorrected formation energy in eV per atom: -1.379
! Fermi-level density of states in states/eV/cell: 8.08
&SYSTEM
  ibrav = 0, nat = 18, ntyp = 4
/
ATOMIC_SPECIES
Sr 87.62 Sr.upf
Pa 231.04 Pa.upf
Pd 106.42 Pd.upf
O 16.00 O.upf
ATOMIC_POSITIONS angstrom
Sr 7.962 4.634 3.287
Sr 5.069 2.951 2.093
Pa 0.000 0.000 0.000
Pd 3.373 -0.108 -0.077
Pd 1.571 2.986 -0.077
Pd 1.571 0.915 2.844
O 5.285 3.076 4.809
O 9.776 5.691 2.074
O 8.165 6.605 4.685
O 7.441 1.852 1.314
O 9.776 3.838 4.685
O 5.285 5.556 1.314
O 7.746 4.509 0.571
O 3.254 1.894 3.306
O 4.865 0.980 0.695
O 5.590 5.733 4.066
O 3.254 3.747 0.695
O 7.746 2.029 4.066
CELL_PARAMETERS angstrom
6.745 -0.217 -0.154
3.143 5.972 -0.154
3.143 1.829 5.687

# 18
! BaLuSb (GGA-PBE, relaxed); values from VASP
! Crystal system: hexagonal
! Total energy in eV for the cell shown: -12.221
! Symmetry: P-6m2 (187)
! Uncorrected formation energy in eV per atom: -0.552
! Fermi-level density of states in states/eV/cell: 1.83
&SYSTEM
  ibrav = 0, nat = 3, ntyp = 3
/
ATOMIC_SPECIES
Sb 121.76 Sb.upf
Lu 174.97 Lu.upf
Ba 137.33 Ba.upf
ATOMIC_POSITIONS angstrom
Sb -0.263 0.309 -0.705
Lu -3.030 0.448 0.388
Ba -2.900 -1.076 -3.147
CELL_PARAMETERS angstrom
-1.580 1.856 -4.233
-0.927 -4.765 -1.743
-3.686 2.590 2.512

# 19
! Nb4HS (GGA-PBE, relaxed); values from VASP
! Crystal system: tetragonal
! Total energy in eV for the cell shown: -96.843
! Symmetry: I4_1md (109)
! Fermi-level density of states in states/eV/cell: 10.07
&SYSTEM
  ibrav = 0, nat = 12, ntyp = 3
/
ATOMIC_SPECIES
Nb 92.91 Nb.upf
H 1.01 H.upf
S 32.06 S.upf
ATOMIC_POSITIONS angstrom
Nb -4.076 -3.820 -0.858
Nb -4.109 1.497 0.451
Nb -2.570 1.799 -1.992
Nb -0.971 0.848 0.613
Nb -3.590 -1.758 1.483
Nb -3.953 3.505 2.949
Nb -2.347 3.714 0.179
Nb -1.990 -1.196 -1.180
H -0.807 0.452 -1.544
H -2.355 -2.888 0.279
S -2.242 1.256 -4.292
S -3.791 -2.083 -2.469
CELL_PARAMETERS angstrom
-1.625 5.915 -1.404
-1.439 -4.198 -4.461
-3.190 -1.623 5.175

# 20
! Rb2TbPaTe4 (GGA-PBE, relaxed); values from VASP
! Crystal system: monoclinic
! Total energy in eV for the cell shown: -37.686
! Symmetry: P2/m (10)
! Uncorrected formation energy in eV per atom: -1.132
! Fermi-level density of states in states/eV/cell: 8.26
&SYSTEM
  ibrav = 0, nat = 8, ntyp = 4
/
ATOMIC_SPECIES
Rb 85.47 Rb.upf
Tb 158.93 Tb.upf
Pa 231.04 Pa.upf
Te 127.60 Te.upf
ATOMIC_POSITIONS angstrom
Rb 3.745 3.032 1.480
Rb 2.136 0.193 4.591
Tb 0.000 0.000 0.000
Pa -2.571 1.526 3.374
Te 0.251 2.219 2.193
Te 3.059 2.533 7.252
Te 5.622 1.006 3.855
Te -1.351 -0.620 5.326
CELL_PARAMETERS angstrom
-0.962 4.365 0.264
-4.180 -1.313 6.485
8.451 1.700 2.697

# 21
! Al2CdGaSe (GGA-PBE, relaxed); values from VASP
! Crystal system: tetragonal
! Total energy in eV for the cell shown: -12.545
! Symmetry: P4/mmm (123)
! Uncorrected formation energy in eV per atom: 0.473
! Fermi-level density of states in states/eV/cell: 2.03
&SYSTEM
  ibrav = 0, nat = 5, ntyp = 4
/
ATOMIC_SPECIES
Al 26.98 Al.upf
Ga 69.72 Ga.upf
Se 78.96 Se.upf
Cd 112.41 Cd.upf
ATOMIC_POSITIONS angstrom
Al 0.000 0.000 2.477
Al 2.477 0.000 0.000
Ga 0.000 2.790 0.000
Se 0.000 0.000 0.000
Cd 2.477 2.790 2.477
CELL_PARAMETERS angstrom
4.953 0.000 0.000
0.000 5.581 0.000
0.000 0.000 4.953